Computed, not measured: a geometry-optimized BaCd2Fe structure at the PBE level of DFT.

Cell and atoms, written as POSCAR:
```
BaCd2Fe
1.0
-2.7022 2.7022 9.1436
2.7022 -2.7022 9.1436
2.7022 2.7022 -9.1436
Ba Cd Fe
2 4 2
Direct
0.0000 0.0000 0.0000
0.7500 0.2500 0.5000
0.3122 0.6250 0.1872
0.3750 0.5622 0.6872
0.4378 0.1250 0.8128
0.8750 0.6878 0.3128
0.2500 0.7500 0.5000
0.5000 0.5000 0.0000
```

Output
V ... 267.1 Å³/cell
Energy of formation from the pure elements ... 0.38 eV per atom
Total DFT energy (no corrections) ... -2.6698 eV/atom
Fermi-level density of states ... 6.0 states/eV/f.u.



Computed, not measured: a geometry-optimized BaCdFe2 structure at the PBE level of DFT.

Cell and atoms, written as POSCAR:
```
BaCdFe2
1.0
5.1205 0.0000 0.0000
0.0000 5.1205 0.0000
0.0000 0.0000 3.2560
Ba Cd Fe
1 1 2
Direct
0.0000 0.0000 0.0000
0.5000 0.5000 0.0000
0.0000 0.5000 0.5000
0.5000 0.0000 0.5000
```

Output
V ... 85.4 Å³/cell
Energy of formation from the pure elements ... 0.89 eV per atom
Total DFT energy (no corrections) ... -4.0476 eV/atom
Fermi-level density of states ... 5.5 states/eV/f.u.



Computed, not measured: a geometry-optimized BaCdFe2 structure at the PBE level of DFT.

Cell and atoms, written as POSCAR:
```
BaCdFe2
1.0
3.2716 0.0000 0.0000
0.0000 3.2716 0.0000
0.0000 0.0000 8.0511
Ba Cd Fe
1 1 2
Direct
0.0000 0.0000 0.0000
0.5000 0.5000 0.3498
0.0000 0.0000 0.5753
0.5000 0.5000 0.6884
```

Output
V ... 86.2 Å³/cell
Energy of formation from the pure elements ... 0.38 eV per atom
Total DFT energy (no corrections) ... -4.5567 eV/atom
Fermi-level density of states ... 4.1 states/eV/f.u.



Computed, not measured: a geometry-optimized BaCd2Fe structure at the PBE level of DFT.

Cell and atoms, written as POSCAR:
```
BaCd2Fe
1.0
4.6494 0.0000 0.0000
0.0000 4.6494 0.0000
0.0000 0.0000 5.1078
Ba Cd Fe
1 2 1
Direct
0.0000 0.0000 0.0000
0.0000 0.5000 0.5000
0.5000 0.0000 0.5000
0.5000 0.5000 0.0000
```

Output
V ... 110.4 Å³/cell
Energy of formation from the pure elements ... 0.44 eV per atom
Total DFT energy (no corrections) ... -2.6135 eV/atom
Fermi-level density of states ... 5.5 states/eV/f.u.



Computed, not measured: a geometry-optimized BaCd2Fe structure at the PBE level of DFT.

Cell and atoms, written as POSCAR:
```
BaCd2Fe
1.0
-2.4480 2.4480 4.4920
2.4480 -2.4480 4.4920
2.4480 2.4480 -4.4920
Ba Cd Fe
1 2 1
Direct
0.0000 0.0000 0.0000
0.2500 0.7500 0.5000
0.7500 0.2500 0.5000
0.5000 0.5000 0.0000
```

Output
V ... 107.7 Å³/cell
Energy of formation from the pure elements ... 0.39 eV per atom
Total DFT energy (no corrections) ... -2.6602 eV/atom
Fermi-level density of states ... 6.2 states/eV/f.u.



Computed, not measured: a geometry-optimized BaCdFe2 structure at the PBE level of DFT.

Cell and atoms, written as POSCAR:
```
BaCdFe2
1.0
3.6423 0.0000 0.0000
0.0000 3.6423 0.0000
0.0000 0.0000 7.0654
Ba Cd Fe
1 1 2
Direct
0.0000 0.0000 0.0000
0.0000 0.0000 0.5000
0.5000 0.5000 0.3457
0.5000 0.5000 0.6543
```

Output
V ... 93.7 Å³/cell
Energy of formation from the pure elements ... 0.57 eV per atom
Total DFT energy (no corrections) ... -4.3744 eV/atom
Fermi-level density of states ... 3.4 states/eV/f.u.



Computed, not measured: a geometry-optimized BaCd2Fe structure at the PBE level of DFT.

Cell and atoms, written as POSCAR:
```
BaCd2Fe
1.0
-1.6994 2.7500 5.5066
1.6994 -2.7500 5.5066
1.6994 2.7500 -5.5066
Ba Cd Fe
1 2 1
Direct
0.0000 0.0000 0.0000
0.2969 0.7969 0.5000
0.7031 0.2031 0.5000
0.5000 0.5000 0.0000
```

Output
V ... 102.9 Å³/cell
Energy of formation from the pure elements ... 0.31 eV per atom
Total DFT energy (no corrections) ... -2.7389 eV/atom
Fermi-level density of states ... 4.1 states/eV/f.u.



Computed, not measured: a geometry-optimized Ba3CdFe structure at the PBE level of DFT.

Cell and atoms, written as POSCAR:
```
Ba3CdFe
1.0
5.8127 0.0000 0.0000
0.0000 5.8127 0.0000
0.0000 0.0000 5.8127
Ba Cd Fe
3 1 1
Direct
0.0000 0.0000 0.5000
0.0000 0.5000 0.0000
0.5000 0.0000 0.0000
0.5000 0.5000 0.5000
0.0000 0.0000 0.0000
```

Output
V ... 196.4 Å³/cell
Energy of formation from the pure elements ... 0.36 eV per atom
Total DFT energy (no corrections) ... -2.6719 eV/atom
Energy above the most stable polymorph in this dataset ... 0.000 eV per atom
Fermi-level density of states ... 7.2 states/eV/f.u.



> What is the V in the third record?

86.2 Å³/cell